MoOsN2F | the Alexandria database | PBE+U | optimized geometry; relative energy among the computed polymorphs = 0.000 eV/atom; SG = P4/mmm; magnetic moment = 4.10 μB per formula unit; calculated volume = 65.1 Å³/cell
1.0
-2.011 1.327 -3.034
-0.668 -3.639 -1.149
-3.632 -0.082 2.371
Mo N Os F
1 2 1 1
direct
0.500 0.500 0.500
0.000 0.500 0.000
0.500 0.000 0.000
0.000 0.000 0.000
0.000 0.000 0.500